Compound: TlCd2Te
Source: Alexandria via LeMat-Bulk
Functional: meta-GGA SCAN
Structure: single point on PBEsol structure

Lattice parameters (Å, degrees): 5.0078 5.0078 6.0070 107.60 107.60 48.20
Closest atoms and distances in Å follow each position.
Sites, in units of the cell vectors:
Tl: 0.0000 0.0000 0.0000  6 Cd 3.07-3.08
Cd: 0.2467 0.2467 0.7548  3 Te 3.05-3.17, 3 Tl 3.07-3.08
Cd: 0.7533 0.7533 0.2452  3 Te 3.05-3.17, 3 Tl 3.07-3.08
Te: 0.5000 0.5000 0.5000  6 Cd 3.05-3.17

The calculation puts the total magnetization at 0.0 μB per formula unit. Its raw total energy is -42.651 eV/atom.